Record 1
Computed, not measured: a relaxed Ac3La2Tb2 crystal at the PBE level of DFT.

Cell lengths 5.7114, 3.7638, 12.9914 Å; angles 90.00, 77.30, 90.00 degrees
Last column: nearest neighbours and their distance in Å.
Atoms (fractional coordinates):
1 Ac 0.8455 0.0000 0.3090  6 Tb 3.75-3.80, 3 Ac 3.76-3.92, 4 La 3.99
2 Ac 0.0000 0.0000 0.0000  4 Ac 3.76-3.92, 8 La 3.90
3 Ac 0.1545 0.0000 0.6910  6 Tb 3.75-3.80, 3 Ac 3.76-3.92, 4 La 3.99
4 La 0.5737 0.5000 0.8526  1 Tb 3.59, 3 La 3.74-3.76, 8 Ac 3.90-3.99
5 La 0.4263 0.5000 0.1474  1 Tb 3.59, 3 La 3.74-3.76, 8 Ac 3.90-3.99
6 Tb 0.7152 0.5000 0.5696  2 Tb 3.36, 1 La 3.59, 4 Ac 3.75
7 Tb 0.2848 0.5000 0.4304  2 Tb 3.36, 1 La 3.59, 4 Ac 3.75

Values from the calculation:
- total moment (μB/f.u.) = 0.0
- energy relative to the elements (eV/atom) = 0.040
- electronic total energy (eV per atom) = -4.452
- calculated volume (A^3/atom) = 38.9

Record 2
Computed, not measured: a relaxed BaZn11Cu crystal at the PBE level of DFT.

Cell lengths 5.0448, 7.0646, 7.0908 Å; angles 83.05, 69.16, 70.12 degrees
Last column: nearest neighbours and their distance in Å.
Atoms (fractional coordinates):
1 Ba 0.0000 0.0000 0.0000  18 Zn 3.35-3.55, 2 Cu 3.57
2 Zn 0.2675 0.2436 0.2345  1 Cu 2.60, 7 Zn 2.66-2.84
3 Zn 0.7325 0.7564 0.7655  1 Cu 2.60, 7 Zn 2.66-2.84
4 Zn 0.4980 0.7564 0.2345  1 Cu 2.60, 7 Zn 2.66-2.84
5 Zn 0.5020 0.2436 0.7655  1 Cu 2.60, 7 Zn 2.66-2.84
6 Zn 0.3573 0.6391 0.6463  8 Zn 2.68-2.90, 1 Cu 2.83
7 Zn 0.6427 0.3609 0.3537  8 Zn 2.68-2.90, 1 Cu 2.83
8 Zn 0.9964 0.3609 0.6463  8 Zn 2.68-2.90, 1 Cu 2.83
9 Zn 0.0036 0.6391 0.3537  8 Zn 2.68-2.90, 1 Cu 2.83
10 Zn 0.0000 0.5000 0.0000  2 Cu 2.52, 8 Zn 2.66-2.81
11 Zn 0.5000 0.0000 0.5000  6 Zn 2.52-2.70
12 Zn 0.0000 0.0000 0.5000  6 Zn 2.52-2.70
13 Cu 0.5000 0.5000 0.0000  6 Zn 2.52-2.60

Values from the calculation:
- total moment (μB/f.u.) = 0.0
- energy relative to the elements (eV/atom) = -0.097
- electronic total energy (eV per atom) = -1.638
- calculated volume (A^3/atom) = 17.1

Record 3
Computed, not measured: a relaxed AcNpSe2 crystal at the PBE level of DFT.

Cell lengths 3.6932, 3.6932, 7.4870 Å; angles 90.00, 90.00, 90.00 degrees
Last column: nearest neighbours and their distance in Å.
Atoms (fractional coordinates):
1 Np 0.5000 0.5000 0.0000  8 Se 3.15
2 Ac 0.5000 0.5000 0.5000  8 Se 3.28
3 Se 0.0000 0.0000 0.7656  4 Np 3.15, 4 Ac 3.28, 1 Se 3.51
4 Se 0.0000 0.0000 0.2344  4 Np 3.15, 4 Ac 3.28, 1 Se 3.51

Values from the calculation:
- total moment (μB/f.u.) = 5.2
- electronic total energy (eV per atom) = -7.205
- calculated volume (A^3/atom) = 25.5
- energy above the lowest structure with this stoichiometry (eV per formula unit) = 0.96

Record 4
Computed, not measured: a relaxed ScVMoOs crystal at the PBE level of DFT.

Cell lengths 4.4391, 4.4391, 4.4391 Å; angles 60.00, 60.00, 60.00 degrees
Last column: nearest neighbours and their distance in Å.
Atoms (fractional coordinates):
1 Sc 0.0000 0.0000 0.0000  4 Os 2.72, 4 Mo 2.72
2 Mo 0.7500 0.7500 0.7500  4 Sc 2.72, 4 V 2.72
3 Os 0.2500 0.2500 0.2500  4 Sc 2.72, 4 V 2.72
4 V 0.5000 0.5000 0.5000  4 Mo 2.72, 4 Os 2.72

Values from the calculation:
- total moment (μB/f.u.) = 0.0
- energy relative to the elements (eV/atom) = -0.104
- electronic total energy (eV per atom) = -9.482
- calculated volume (A^3/atom) = 15.5